First-principles (PBEsol) data for a relaxed Ta5Mo3 crystal, as listed in the Alexandria database.

Unit cell a=2.821 b=4.538 c=10.413 alpha=90.00 beta=94.57 gamma=90.00
Sites, in units of the cell vectors:
1 Ta 0.000 0.000 0.000
2 Ta 0.101 0.500 0.379
3 Ta 0.485 0.000 0.508
4 Ta 0.593 0.500 0.873
5 Ta 0.705 0.000 0.250
6 Mo 0.225 0.000 0.751
7 Mo 0.351 0.500 0.125
8 Mo 0.858 0.500 0.629

Computed properties:
Energy of formation ... -8.2 kJ/mol of atoms
Energy ... -12.3422 eV per atom
Symmetry ... No. 6

=====

First-principles (PBEsol) data for a relaxed BaRhW2 crystal, as listed in the Alexandria database.

Unit cell a=9.524 b=9.524 c=9.524 alpha=19.03 beta=19.03 gamma=19.03
Sites, in units of the cell vectors:
1 Ba 0.000 0.000 0.000
2 Rh 0.237 0.237 0.237
3 W 0.503 0.503 0.503
4 W 0.773 0.773 0.773

Computed properties:
Energy of formation ... 78.6 kJ/mol of atoms
Energy ... -8.6606 eV per atom
Symmetry ... No. 160